Material: TaCo
Method: DFT, PBE
State: optimized geometry

abc: 4.808 4.960 9.615
angles: 90.00 90.00 90.00
Atoms (fractional coordinates):
1 Ta 0.865 0.091 0.488
2 Ta 0.365 0.409 0.512
3 Ta 0.135 0.591 0.012
4 Ta 0.635 0.909 0.988
5 Ta 0.356 0.891 0.302
6 Ta 0.856 0.609 0.698
7 Ta 0.644 0.391 0.198
8 Ta 0.144 0.109 0.802
9 Co 0.340 0.893 0.562
10 Co 0.840 0.607 0.438
11 Co 0.660 0.393 0.938
12 Co 0.160 0.107 0.062
13 Co 0.141 0.387 0.272
14 Co 0.641 0.113 0.728
15 Co 0.859 0.887 0.228
16 Co 0.359 0.613 0.772

Results
symmetry: P2_12_12_1

=====

Material: Ir2RuPt
Method: DFT, PBE
State: optimized geometry

abc: 4.751 4.751 4.757
angles: 80.50 80.50 33.60
Atoms (fractional coordinates):
1 Ru 0.254 0.254 0.243
2 Ir 0.999 0.999 0.002
3 Ir 0.747 0.747 0.756
4 Pt 0.500 0.500 0.499

Results
distance to the lowest polymorph of the same formula: 0.21 eV per formula unit
symmetry: Cm

=====

Material: MnCoAs2
Method: DFT, PBE
State: optimized geometry

abc: 4.526 3.238 4.440
angles: 68.72 90.00 90.00
Site moments in Bohr magnetons follow the coordinates.
Atoms (fractional coordinates):
1 As 0.000 0.720 0.937  -0.05
2 As 0.500 0.532 0.308  -0.08
3 Co 0.000 0.416 0.543  -0.21
4 Mn 0.500 0.832 0.711  1.68

Results
distance to the lowest polymorph of the same formula: 0.25 eV per formula unit
symmetry: Pm

=====

Material: Mg2AlIn2
Method: DFT, PBE
State: optimized geometry

abc: 4.364 4.364 7.300
angles: 72.61 72.61 90.00
Atoms (fractional coordinates):
1 Mg 0.750 0.250 0.500
2 Mg 0.250 0.750 0.500
3 Al 0.000 0.000 0.000
4 In 0.397 0.397 0.206
5 In 0.603 0.603 0.794

Results
distance to the lowest polymorph of the same formula: 0.67 eV per formula unit
symmetry: I4/mmm

=====

Material: PmBeAl2Au4
Method: DFT, PBE
State: optimized geometry

abc: 4.376 4.376 9.210
angles: 76.26 76.26 60.00
Atoms (fractional coordinates):
1 Pm 0.000 0.000 0.000
2 Be 0.500 0.500 0.500
3 Al 0.758 0.758 0.725
4 Al 0.242 0.242 0.275
5 Au 0.403 0.403 0.792
6 Au 0.862 0.862 0.415
7 Au 0.138 0.138 0.585
8 Au 0.597 0.597 0.208

Results
symmetry: R-3m

=====

In eV/atom, the ΔH_f (0 K) values for the records above are, in order, -0.197 0.035 -0.047 0.231 -0.489.
In kg/m3, the mass density values for the records above are, in order, 13898 19304 7223 4022 11260.